Entry 1:
VASP calculation (PBE) on PmHoC after structural relaxation.

abc: 3.6007 3.6007 6.4289
angles: 90.00 90.00 120.00
Closest atoms and distances in Å follow each position.
Fractional positions:
Pm: 0.0000 0.0000 0.0000  3 C 2.54
Ho: 0.3333 0.6667 0.4277  3 C 2.44
C: 0.6667 0.3333 0.2277  3 Ho 2.44, 3 Pm 2.54

**ΔE to the lowest computed polymorph**: 13.2 meV per atom
**Energy of formation**: -0.198 eV per atom
**SG**: P3m1

=====

Entry 2:
VASP calculation (PBE) on Sr2TeCl after structural relaxation.

abc: 4.2221 4.2221 8.6896
angles: 90.00 90.00 111.83
Closest atoms and distances in Å follow each position.
Fractional positions:
Sr: 0.0000 0.0000 0.2476  2 Te 3.20, 2 Cl 3.23
Sr: 0.0000 0.0000 0.7524  2 Te 3.20, 2 Cl 3.23
Te: 0.5000 0.5000 0.0000  4 Sr 3.20
Cl: 0.5000 0.5000 0.5000  4 Sr 3.23

**Formation energy from raw total energies**: -1.421 eV/atom
**ΔE to the lowest computed polymorph**: 235.9 meV per atom
**SG**: Cmmm

=====

Entry 3:
VASP calculation (PBE) on Li2AgI after structural relaxation.

abc: 7.1437 7.1437 7.1437
angles: 32.96 32.96 32.96
Closest atoms and distances in Å follow each position.
Fractional positions:
Li: 0.2478 0.2478 0.2478  3 Ag 2.86, 3 I 2.91
Li: 0.7522 0.7522 0.7522  3 Ag 2.86, 3 I 2.91
Ag: 0.5000 0.5000 0.5000  6 Li 2.86
I: 0.0000 0.0000 0.0000  6 Li 2.91

**Formation energy from raw total energies**: -0.468 eV/atom
**ΔE to the lowest computed polymorph**: 0.0 meV per atom
**SG**: R-3m

=====

Entry 4:
VASP calculation (PBE) on ZrAs3Ir after structural relaxation.

abc: 4.8148 4.8148 4.8148
angles: 90.00 90.00 90.00
Closest atoms and distances in Å follow each position.
Fractional positions:
Zr: 0.0000 0.0000 0.0000  12 As 3.40
As: 0.0000 0.5000 0.5000  2 Ir 2.41
As: 0.5000 0.0000 0.5000  2 Ir 2.41
As: 0.5000 0.5000 0.0000  2 Ir 2.41
Ir: 0.5000 0.5000 0.5000  6 As 2.41

**ΔE to the lowest computed polymorph**: 0.0 meV per atom
**Energy of formation**: 0.475 eV per atom
**SG**: Pm-3m

=====

Entry 5:
VASP calculation (PBE) on Li8BiAu2 after structural relaxation.

abc: 7.4720 7.4720 7.0497
angles: 118.14 118.14 34.79
Closest atoms and distances in Å follow each position.
Fractional positions:
Li: 0.0066 0.0066 0.2041  2 Au 2.74-2.82, 7 Li 2.79-2.97
Li: 0.1549 0.1549 0.6720  6 Li 2.74-2.97, 2 Au 2.92, 2 Bi 2.95
Li: 0.3379 0.3379 0.6233  3 Au 2.74-2.76, 4 Li 2.79-2.96, 1 Bi 2.84
Li: 0.3482 0.3482 0.0538  3 Au 2.68-2.77, 6 Li 2.74-2.97, 1 Bi 2.80
Li: 0.6518 0.6518 0.9462  3 Au 2.68-2.77, 6 Li 2.74-2.97, 1 Bi 2.80
Li: 0.6621 0.6621 0.3767  3 Au 2.74-2.76, 4 Li 2.79-2.96, 1 Bi 2.84
Li: 0.8451 0.8451 0.3280  6 Li 2.74-2.97, 2 Au 2.92, 2 Bi 2.95
Li: 0.9934 0.9934 0.7959  2 Au 2.74-2.82, 7 Li 2.79-2.97
Bi: 0.5000 0.5000 0.5000  12 Li 2.80-3.09
Au: 0.1939 0.1939 0.1844  10 Li 2.68-2.92
Au: 0.8061 0.8061 0.8156  10 Li 2.68-2.92

**Energy of formation**: -0.431 eV per atom
**SG**: C2/m

=====

Entry 6:
VASP calculation (PBE) on Al2AgPb after structural relaxation.

abc: 4.2943 4.2943 4.6352
angles: 90.00 90.00 90.00
Closest atoms and distances in Å follow each position.
Fractional positions:
Al: 0.0000 0.5000 0.0000  4 Al 3.04, 4 Pb 3.16, 4 Ag 3.16
Al: 0.5000 0.0000 0.0000  4 Al 3.04, 4 Pb 3.16, 4 Ag 3.16
Ag: 0.0000 0.0000 0.5000  4 Pb 3.04, 8 Al 3.16
Pb: 0.5000 0.5000 0.5000  4 Ag 3.04, 8 Al 3.16

**Energy of formation**: 0.244 eV per atom
**SG**: P4/mmm

=====

Entry 7:
VASP calculation (PBE) on NpPa2O6 after structural relaxation.

abc: 3.8722 3.8722 9.4254
angles: 90.00 90.00 120.00
Closest atoms and distances in Å follow each position.
Fractional positions:
Np: 0.0000 0.0000 0.0000  8 O 2.40-2.45
Pa: 0.3333 0.6667 0.6697  8 O 2.24-2.38
Pa: 0.6667 0.3333 0.3303  8 O 2.24-2.38
O: 0.0000 0.0000 0.2603  3 Pa 2.33, 1 Np 2.45
O: 0.0000 0.0000 0.7397  3 Pa 2.33, 1 Np 2.45
O: 0.3333 0.6667 0.4174  4 Pa 2.38
O: 0.3333 0.6667 0.9074  1 Pa 2.24, 3 Np 2.40
O: 0.6667 0.3333 0.0926  1 Pa 2.24, 3 Np 2.40
O: 0.6667 0.3333 0.5826  4 Pa 2.38

**Formation energy from raw total energies**: -3.470 eV/atom
**SG**: P-3m1

=====

Entry 8:
VASP calculation (PBE) on LaPmHg2 after structural relaxation.

abc: 9.8808 9.8808 9.8808
angles: 22.57 22.57 22.57
Closest atoms and distances in Å follow each position.
Fractional positions:
La: 0.0000 0.0000 0.0000  6 Hg 3.34
Pm: 0.5000 0.5000 0.5000  6 Hg 3.23
Hg: 0.2473 0.2473 0.2473  3 Pm 3.23, 3 La 3.34
Hg: 0.7527 0.7527 0.7527  3 Pm 3.23, 3 La 3.34

**ΔE to the lowest computed polymorph**: 163.8 meV per atom
**Energy of formation**: -0.322 eV per atom
**SG**: R-3m